[1]
First-principles (GGA-PBE) data for a relaxed structure of LaAsRhN, as listed in Alexandria via LeMat-Bulk.

The structure in CIF format:
```
data_LaAsRhN
_cell_length_a 4.013
_cell_length_b 4.013
_cell_length_c 8.656
_cell_angle_alpha 90.00
_cell_angle_beta 90.00
_cell_angle_gamma 90.00
_symmetry_space_group_name_H-M 'P 4/n m m'
_symmetry_Int_Tables_number 129
loop_
_symmetry_equiv_pos_as_xyz
'x,y,z'
'-x,-y,-z'
'-y+1/2,x,z'
'y+1/2,-x,-z'
'-x+1/2,-y+1/2,z'
'x+1/2,y+1/2,-z'
'y,-x+1/2,z'
'-y,x+1/2,-z'
'x+1/2,-y,-z'
'-x+1/2,y,z'
'-y,-x,-z'
'y,x,z'
'-x,y+1/2,-z'
'x,-y+1/2,z'
'y+1/2,x+1/2,-z'
'-y+1/2,-x+1/2,z'
loop_
_atom_site_label
_atom_site_type_symbol
_atom_site_fract_x
_atom_site_fract_y
_atom_site_fract_z
La1 La 0.250 0.250 0.154
As1 As 0.250 0.250 0.662
Rh1 Rh 0.250 0.750 0.500
N1 N 0.250 0.250 0.881
```

Summary:
Calculated density = 7.880 g/cm³
Total magnetization = 0.00 μB per cell

[2]
First-principles (GGA-PBE) data for a relaxed structure of LaAsRu2N, as listed in Alexandria via LeMat-Bulk.

The structure in CIF format:
```
data_LaAsRu2N
_cell_length_a 3.928
_cell_length_b 11.410
_cell_length_c 7.348
_cell_angle_alpha 90.00
_cell_angle_beta 90.00
_cell_angle_gamma 90.00
_symmetry_space_group_name_H-M 'C m c m'
_symmetry_Int_Tables_number 63
_symmetry_space_group_name_Hall '-C 2c 2'
loop_
_atom_site_label
_atom_site_type_symbol
_atom_site_fract_x
_atom_site_fract_y
_atom_site_fract_z
La1 La 0.000 0.045 0.250
As1 As 0.000 0.230 0.750
Ru1 Ru 0.000 0.337 0.053
N1 N 0.000 0.500 0.000
```

Summary:
Calculated density = 8.673 g/cm³
Total magnetization = 0.00 μB per cell

no.,electronic total energy (eV per atom),E_form (uncorrected) (meV/atom)
1,-7.26,-945
2,-7.97,-683